This record from Alexandria via LeMat-Bulk describes CoTcF3 after structural relaxation. The functional is GGA+U.

The value obtained for the size of the total moment is 6.88 μB per formula unit. The total energy is -4.8172 eV per atom. As for the space-group type: Pm-3m. Its energy above the lowest structure with this stoichiometry is 0.201 eV/atom.

Cell and atoms, written as CIF:
```
data_CoTcF3
_space_group_name_H-M_alt 'P 1'
_space_group_IT_number 1
_cell_length_a 4.303
_cell_length_b 4.303
_cell_length_c 4.303
_cell_angle_alpha 90.00
_cell_angle_beta 90.00
_cell_angle_gamma 90.00
loop_
_space_group_symop_operation_xyz
'x,y,z'
loop_
_atom_site_label
_atom_site_type_symbol
_atom_site_fract_x
_atom_site_fract_y
_atom_site_fract_z
Co1 Co 0.000 0.000 0.000
Tc1 Tc 0.500 0.500 0.500
F1 F 0.000 0.500 0.500
F2 F 0.500 0.000 0.500
F3 F 0.500 0.500 0.000
```